# GGA-PBE La4SbPtI2, optimized geometry
# DOS(E_F) (states/eV per cell): 6.43
# Formation energy without anion corrections (kJ/mol of atoms): -113.0
# V (Å³ per cell): 275
data_La4SbPtI2
_chemical_formula_sum 'La4 Sb1 Pt1 I2'
_symmetry_space_group_name_H-M 'P 1 2/m 1'
_symmetry_Int_Tables_number 10
_cell_length_a 8.1166
_cell_length_b 4.3595
_cell_length_c 8.1390
_cell_angle_alpha 90.00
_cell_angle_beta 107.28
_cell_angle_gamma 90.00
loop_
_symmetry_equiv_pos_as_xyz
'x,y,z'
'-x,-y,-z'
'-x,y,-z'
'x,-y,z'
loop_
_atom_site_label
_atom_site_type_symbol
_atom_site_fract_x
_atom_site_fract_y
_atom_site_fract_z
_atom_site_occupancy
La1 La 0.2076 0.0000 0.1970 1
La2 La 0.2477 0.5000 0.7814 1
Sb1 Sb 0.5000 0.0000 0.0000 1
Pt1 Pt 0.0000 0.5000 0.0000 1
I1 I 0.0000 0.0000 0.5000 1
I2 I 0.5000 0.5000 0.5000 1